i:
## PPbAu (PBE-GGA)

Data for crystalline PPbAu at its relaxed geometry.

The space group is I4mm (No. 107) and the conventional cell measures 4.068, 4.068 and 8.371 Å, with angles of 90.00, 90.00 and 90.00 degrees. Symmetry generates all atoms from P at (0.000, 0.000, 0.000), Pb at (0.000, 0.000, 0.357) and Au at (0.000, 0.000, 0.703).

ii:
## PPbAu (PBE-GGA)

Data for crystalline PPbAu at its relaxed geometry.

The space group is F-43m (No. 216) and the conventional cell measures 6.618, 6.618 and 6.618 Å, with angles of 90.00, 90.00 and 90.00 degrees. Symmetry generates all atoms from P at (0.000, 0.000, 0.000), Pb at (0.000, 0.000, 0.500) and Au at (0.250, 0.250, 0.250).

Name the most stable of them. ii.

i:
## P2Pb2Au (PBE-GGA)

Data for crystalline P2Pb2Au at its relaxed geometry.

The space group is I4/mmm (No. 139) and the conventional cell measures 5.393, 5.393 and 8.621 Å, with angles of 90.00, 90.00 and 90.00 degrees. Symmetry generates all atoms from P at (0.000, 0.000, 0.123), Pb at (0.000, 0.500, 0.250) and Au at (0.000, 0.000, 0.500).

ii:
## P2Pb2Au (PBE-GGA)

Data for crystalline P2Pb2Au at its relaxed geometry.

The space group is P4/mbm (No. 127) and the conventional cell measures 7.254, 7.254 and 4.479 Å, with angles of 90.00, 90.00 and 90.00 degrees. Symmetry generates all atoms from P at (0.173, 0.327, 0.000), Pb at (0.157, 0.657, 0.500) and Au at (0.000, 0.000, 0.000).

Name the most stable of them. i.

i:
## PPbAu3 (PBE-GGA)

Data for crystalline PPbAu3 at its relaxed geometry.

The space group is Pm-3m (No. 221) and the conventional cell measures 5.373, 5.373 and 5.373 Å, with angles of 90.00, 90.00 and 90.00 degrees. Symmetry generates all atoms from P at (0.000, 0.000, 0.000), Pb at (0.500, 0.500, 0.500) and Au at (0.000, 0.500, 0.500).

ii:
## PPbAu3 (PBE-GGA)

Data for crystalline PPbAu3 at its relaxed geometry.

The space group is Pm-3m (No. 221) and the conventional cell measures 4.851, 4.851 and 4.851 Å, with angles of 90.00, 90.00 and 90.00 degrees. Symmetry generates all atoms from P at (0.000, 0.000, 0.000), Pb at (0.500, 0.500, 0.500) and Au at (0.000, 0.000, 0.500).

Name the most stable of them. ii.

i:
## P2PbAuS (PBE-GGA)

Data for crystalline P2PbAuS at its relaxed geometry.

The space group is P4/mmm (No. 123) and the conventional cell measures 5.318, 5.318 and 5.178 Å, with angles of 90.00, 90.00 and 90.00 degrees. Symmetry generates all atoms from P at (0.000, 0.500, 0.000), Pb at (0.000, 0.000, 0.000), Au at (0.500, 0.500, 0.500) and S at (0.000, 0.000, 0.500).

ii:
## P2PbAuS (PBE-GGA)

Data for crystalline P2PbAuS at its relaxed geometry.

The space group is P4/mmm (No. 123) and the conventional cell measures 4.813, 4.813 and 5.147 Å, with angles of 90.00, 90.00 and 90.00 degrees. Symmetry generates all atoms from P at (0.000, 0.500, 0.000), Pb at (0.000, 0.000, 0.500), Au at (0.500, 0.500, 0.000) and S at (0.500, 0.500, 0.500).

Name the most stable of them. ii.